[1]
VASP calculation (PBE) on a relaxed PmSmF6 crystal.

* calculated density: 5.182 g cm⁻³
* energy above the lowest structure with this stoichiometry: 0.0 meV per atom
* space group: C2/m, No. 12

```
8
Lattice="5.744 -2.045 0.000 5.744 2.045 0.000 -4.366 0.000 5.582" Properties=species:S:1:pos:R:3 pbc="T T T"
Pm 0.000 0.000 0.000
Sm 3.561 0.000 2.791
F -2.535 0.000 4.006
F 1.784 0.000 1.403
F 1.747 0.000 4.361
F 5.376 0.000 1.221
F 5.339 0.000 4.179
F 9.657 0.000 1.576
```

***

[2]
VASP calculation (PBE) on a relaxed PmSm3F crystal.

* calculated density: 7.474 g cm⁻³
* space group: Pm-3m, No. 221

```
5
Lattice="5.151 0.000 0.000 0.000 5.151 0.000 0.000 0.000 5.151" Properties=species:S:1:pos:R:3 pbc="T T T"
Pm 0.000 0.000 0.000
Sm 0.000 2.575 2.575
Sm 2.575 0.000 2.575
Sm 2.575 2.575 0.000
F 2.575 2.575 2.575
```

***

[3]
VASP calculation (PBE) on a relaxed Pm2SmF11 crystal.

* calculated density: 4.125 g cm⁻³
* space group: Ibam, No. 72

```
28
Lattice="-4.327 5.241 5.764 4.327 -5.241 5.764 4.327 5.241 -5.764" Properties=species:S:1:pos:R:3 pbc="T T T"
Pm 1.397 1.992 0.000
Pm 5.724 3.248 0.000
Pm -1.397 1.992 5.764
Pm 2.930 3.248 5.764
Sm 4.327 0.000 2.882
Sm 0.000 5.241 2.882
F 0.000 0.000 0.000
F 5.208 1.783 -1.658
F 6.075 -0.795 1.537
F 5.208 -1.783 4.106
F 3.395 -3.251 5.764
F 2.579 0.795 1.537
F 2.579 -0.795 4.227
F 3.395 3.251 0.000
F 5.208 1.783 1.658
F 1.748 6.035 -1.537
F 0.881 3.458 1.658
F 0.000 0.000 5.764
F 3.446 1.783 4.106
F 2.579 -0.795 7.301
F -0.881 3.458 4.106
F 0.932 1.989 5.764
F 1.748 6.035 1.537
F 1.748 4.446 4.227
F 0.932 8.492 0.000
F -0.881 7.023 1.658
F -1.748 6.035 4.227
F -0.881 3.458 7.422
```

***

[4]
VASP calculation (PBE) on a relaxed PmSmF6 crystal.

* calculated density: 4.062 g cm⁻³
* energy above the lowest structure with this stoichiometry: 45.4 meV per atom
* space group: P-1, No. 2

```
8
Lattice="5.933 0.000 0.000 2.960 5.144 0.000 2.963 1.711 5.483" Properties=species:S:1:pos:R:3 pbc="T T T"
Pm 0.000 0.000 0.000
Sm 5.928 3.428 2.741
F 5.370 5.134 4.109
F 4.171 3.803 1.377
F 4.730 2.088 4.106
F 7.127 4.767 1.377
F 7.686 3.052 4.106
F 6.486 1.722 1.374
```

***

[5]
VASP calculation (PBE) on a relaxed PmSmF crystal.

* calculated density: 7.180 g cm⁻³
* space group: P3m1, No. 156

```
3
Lattice="3.833 0.000 0.000 -1.916 3.319 0.000 0.000 0.000 5.714" Properties=species:S:1:pos:R:3 pbc="T T T"
Pm 0.000 0.000 0.000
Sm 1.916 1.106 2.883
F 0.000 2.213 4.281
```

***

[6]
VASP calculation (PBE) on a relaxed PmSn2F6 crystal.

* calculated density: 4.807 g cm⁻³
* space group: C2/m, No. 12

```
9
Lattice="7.058 -1.837 0.000 7.058 1.837 0.000 -3.740 0.000 6.613" Properties=species:S:1:pos:R:3 pbc="T T T"
Pm 0.000 0.000 0.000
Sn -0.399 0.000 4.620
Sn 10.776 0.000 1.993
F -1.135 0.000 2.201
F -1.325 0.000 6.601
F 2.594 0.000 5.439
F 7.782 0.000 1.175
F 11.701 0.000 0.012
F 11.511 0.000 4.412
```

***

[7]
VASP calculation (PBE) on a relaxed PmSnF4 crystal.

* calculated density: 4.453 g cm⁻³
* space group: I4_1md, No. 109

```
12
Lattice="-3.597 3.597 4.894 3.597 -3.597 4.894 3.597 3.597 -4.894" Properties=species:S:1:pos:R:3 pbc="T T T"
Pm 0.000 0.000 0.000
Pm 0.000 3.597 2.447
Sn 3.597 0.000 2.304
Sn 0.000 0.000 4.751
F 3.597 -1.524 3.876
F 0.000 1.451 1.760
F 3.597 1.524 3.876
F 2.074 3.597 1.429
F 1.524 0.000 6.323
F -1.451 3.597 4.207
F 1.451 3.597 4.207
F 0.000 5.744 1.760
```

***

[8]
VASP calculation (PBE) on a relaxed Pm4Sn2F crystal.

* calculated density: 7.030 g cm⁻³
* space group: I4/mmm, No. 139

```
7
Lattice="-2.359 2.359 8.875 2.359 -2.359 8.875 2.359 2.359 -8.875" Properties=species:S:1:pos:R:3 pbc="T T T"
Pm 2.359 0.000 0.000
Pm 0.000 0.000 3.271
Pm 0.000 2.359 0.000
Pm 0.000 0.000 14.478
Sn 0.000 0.000 6.499
Sn 0.000 0.000 11.251
F 0.000 0.000 0.000
```

***

What energy relative to the elements, uncorrected values result from the calculations? In sequence: -4.0872, -0.9636, -3.4139, -4.0418, -1.5506, -2.8229, -3.0198, -1.1370 eV/atom.